1.
Here is a crystal of Li8CrO6 relaxed with PBEsol from Alexandria. Energies are from SCAN.

a = 5.3021 Å, b = 5.3021 Å, c = 5.7671 Å
α = 62.63°, β = 62.63°, γ = 60.00°
Fractional coordinates of all 15 atoms:
Li (0.3399, 0.3399, 0.9803)
Li (0.7628, 0.4877, 0.6486)
Li (0.6601, 0.6601, 0.0197)
Li (0.1009, 0.7628, 0.6486)
Li (0.8991, 0.2372, 0.3514)
Li (0.5123, 0.8991, 0.3514)
Li (0.4877, 0.1009, 0.6486)
Li (0.2372, 0.5123, 0.3514)
O (0.0874, 0.3737, 0.7690)
O (0.3737, 0.7699, 0.7690)
O (0.9126, 0.6263, 0.2310)
O (0.6263, 0.2301, 0.2310)
O (0.2301, 0.9126, 0.2310)
O (0.7699, 0.0874, 0.7690)
Cr (0.0000, 0.0000, 0.0000)

The value obtained for the uncorrected formation energy is -2.113 eV per atom. The value obtained for the relative energy among the computed polymorphs is 0.034 eV/atom. The spin magnetization comes out at 2.00 μB/f.u. As for the density of states at the Fermi level: 0.04 states/eV per atom.

=====

2.
Here is a crystal of Li2Cr4O13 relaxed with PBEsol from Alexandria. Energies are from SCAN.

a = 7.5355 Å, b = 8.9018 Å, c = 9.3540 Å
α = 90.00°, β = 113.75°, γ = 90.00°
Fractional coordinates of all 38 atoms:
O (0.6600, 0.1882, 0.9520)
O (0.1285, 0.5793, 0.2667)
O (0.1574, 0.1759, 0.6630)
O (0.9569, 0.7500, 0.9139)
O (0.9575, 0.9369, 0.5216)
O (0.3951, 0.3811, 0.2437)
O (0.6049, 0.8811, 0.7563)
O (0.8618, 0.4207, 0.7333)
O (0.8486, 0.1189, 0.2437)
O (0.5056, 0.3241, 0.6630)
O (0.4359, 0.0631, 0.4784)
O (0.3788, 0.0864, 0.1644)
O (0.1382, 0.9207, 0.2667)
O (0.4944, 0.8241, 0.3370)
O (0.0431, 0.2500, 0.0861)
O (0.6212, 0.5864, 0.8356)
O (0.7080, 0.8118, 0.0480)
O (0.7856, 0.4136, 0.1644)
O (0.8426, 0.6759, 0.3370)
O (0.2144, 0.9136, 0.8356)
O (0.8715, 0.0793, 0.7333)
O (0.0425, 0.4369, 0.4784)
O (0.3400, 0.6882, 0.0480)
O (0.1514, 0.6189, 0.7563)
O (0.5641, 0.5631, 0.5216)
O (0.2920, 0.3118, 0.9520)
Cr (0.7169, 0.7616, 0.8883)
Cr (0.8285, 0.2384, 0.1117)
Cr (0.0433, 0.0302, 0.6818)
Cr (0.9567, 0.5302, 0.3182)
Cr (0.1715, 0.7384, 0.8883)
Cr (0.3614, 0.9698, 0.3182)
Cr (0.2831, 0.2616, 0.1117)
Cr (0.6386, 0.4698, 0.6818)
Li (0.8930, 0.8896, 0.3005)
Li (0.5925, 0.1104, 0.6995)
Li (0.4075, 0.6104, 0.3005)
Li (0.1070, 0.3896, 0.6995)

The value obtained for the uncorrected formation energy is -1.841 eV per atom. The spin magnetization comes out at 0.00 μB/f.u.